Sc3AlN | PBE | optimized geometry

Lattice parameters (Å, degrees): 7.5280 7.5280 7.5280 142.06 64.53 129.89
Closest atoms and distances in Å follow each position.
Element x y z (fractional)
1 Sc 0.1613 0.4113 0.7500  1 N 2.03
2 Sc 0.2115 0.0920 0.1195  1 N 2.04
3 Sc 0.4725 0.0920 0.3805  1 N 2.04
4 Sc 0.5275 0.9080 0.6195  1 N 2.04
5 Sc 0.7885 0.9080 0.8805  1 N 2.04
6 Sc 0.8387 0.5887 0.2500  1 N 2.03
7 Al 0.0000 0.5000 0.5000  8 Sc 2.94-3.23
8 Al 0.5000 0.5000 0.0000  8 Sc 2.94-3.23
9 N 0.1573 0.9073 0.2500  3 Sc 2.03-2.04
10 N 0.8427 0.0927 0.7500  3 Sc 2.03-2.04

Output
- ΔE_f (raw): -352 kJ/mol of formula units
- SG: Imma (74)

Sr2Mg3CdF12 | PBE | optimized geometry

Lattice parameters (Å, degrees): 6.8895 6.8895 6.8895 62.52 62.52 62.52
Closest atoms and distances in Å follow each position.
Element x y z (fractional)
1 Sr 0.1158 0.1158 0.1158  3 F 2.38
2 Sr 0.8842 0.8842 0.8842  3 F 2.38
3 Mg 0.0000 0.5000 0.5000  6 F 1.96-2.03
4 Mg 0.5000 0.0000 0.5000  6 F 1.96-2.03
5 Mg 0.5000 0.5000 0.0000  6 F 1.96-2.03
6 Cd 0.5000 0.5000 0.5000  6 F 2.47
7 F 0.0739 0.6453 0.6453  1 Mg 2.03
8 F 0.2230 0.2230 0.6349  2 Mg 1.96
9 F 0.2230 0.6349 0.2230  2 Mg 1.96
10 F 0.3547 0.3547 0.9261  1 Mg 2.03
11 F 0.3547 0.9261 0.3547  1 Mg 2.03
12 F 0.3651 0.7770 0.7770  2 Mg 1.96
13 F 0.6349 0.2230 0.2230  2 Mg 1.96
14 F 0.6453 0.0739 0.6453  1 Mg 2.03
15 F 0.6453 0.6453 0.0739  1 Mg 2.03
16 F 0.7770 0.3651 0.7770  2 Mg 1.96
17 F 0.7770 0.7770 0.3651  2 Mg 1.96
18 F 0.9261 0.3547 0.3547  1 Mg 2.03

Output
- ΔE_f (raw): -5779 kJ/mol of formula units
- SG: R-3m (166)

Na3PrAu4 | PBE | optimized geometry

Lattice parameters (Å, degrees): 8.8421 8.8421 8.8421 33.40 33.40 33.40
Closest atoms and distances in Å follow each position.
Element x y z (fractional)
1 Na 0.0000 0.0000 0.0000  8 Au 3.12-3.15
2 Na 0.2566 0.2566 0.2566  8 Au 3.04-3.30
3 Na 0.7434 0.7434 0.7434  8 Au 3.04-3.30
4 Pr 0.5000 0.5000 0.5000  8 Au 3.03-3.12
5 Au 0.1248 0.1248 0.1248  3 Pr 3.12, 5 Na 3.12-3.30
6 Au 0.3789 0.3789 0.3789  1 Pr 3.03, 7 Na 3.04-3.15
7 Au 0.6211 0.6211 0.6211  1 Pr 3.03, 7 Na 3.04-3.15
8 Au 0.8752 0.8752 0.8752  3 Pr 3.12, 5 Na 3.12-3.30

Output
- SG: R-3m (166)
- Formation enthalpy at 0 K: -3.59 eV/f.u.

AcLa2Ga2Pt7 | PBE | optimized geometry

Lattice parameters (Å, degrees): 4.2172 4.2172 14.4473 96.12 96.12 89.17
Closest atoms and distances in Å follow each position.
Element x y z (fractional)
1 Ac 0.0000 0.0000 0.0000  12 Pt 2.96-3.13
2 La 0.1128 0.1128 0.3600  5 Pt 3.03-3.28, 3 Ga 3.26-3.31
3 La 0.8872 0.8872 0.6400  5 Pt 3.03-3.28, 3 Ga 3.26-3.31
4 Ga 0.4077 0.4077 0.7440  5 Pt 2.46-2.50
5 Ga 0.5923 0.5923 0.2560  5 Pt 2.46-2.50
6 Pt 0.0585 0.5577 0.1618  2 Ga 2.50
7 Pt 0.3844 0.3844 0.5723  1 Ga 2.46, 1 Pt 2.68
8 Pt 0.4423 0.9415 0.8382  2 Ga 2.50
9 Pt 0.5000 0.5000 0.0000  4 Ac 2.96-3.00, 8 Pt 3.13
10 Pt 0.5577 0.0585 0.1618  2 Ga 2.50
11 Pt 0.6156 0.6156 0.4277  1 Ga 2.46, 1 Pt 2.68
12 Pt 0.9415 0.4423 0.8382  2 Ga 2.50

Output
- SG: C2/m (12)
- Formation enthalpy at 0 K: -11.10 eV/f.u.

KNiAsBr2 | PBE | optimized geometry

Lattice parameters (Å, degrees): 5.4970 5.4970 4.4084 90.00 90.00 90.00
Closest atoms and distances in Å follow each position.
Element x y z (fractional)
1 K 0.0000 0.0000 0.0000  8 Br 3.52, 4 As 3.89
2 Ni 0.5000 0.5000 0.5000  2 As 2.20
3 As 0.5000 0.5000 0.0000  2 Ni 2.20
4 Br 0.0000 0.5000 0.5000  2 Ni 2.75
5 Br 0.5000 0.0000 0.5000  2 Ni 2.75

Output
- ΔE_f (raw): -211 kJ/mol of formula units
- SG: P4/mmm (123)

TbIn3Pd4 | PBE | optimized geometry

Lattice parameters (Å, degrees): 9.3870 6.8647 4.6931 90.00 90.00 90.00
Closest atoms and distances in Å follow each position.
Element x y z (fractional)
1 Tb 0.0000 0.0000 0.0000  8 Pd 2.97, 2 In 3.32
2 Tb 0.5000 0.0000 0.0000  8 Pd 2.97, 2 In 3.32
3 In 0.0000 0.5000 0.0000  8 Pd 2.85
4 In 0.2500 0.0000 0.4991  8 Pd 2.96-2.97, 2 Tb 3.32
5 In 0.2500 0.5000 0.4984  8 Pd 2.85
6 In 0.5000 0.5000 0.0000  8 Pd 2.85
7 In 0.7500 0.0000 0.5009  8 Pd 2.96-2.97, 2 Tb 3.32
8 In 0.7500 0.5000 0.5016  8 Pd 2.85
9 Pd 0.0000 0.2642 0.5000  6 In 2.85-2.97, 2 Tb 2.97
10 Pd 0.0000 0.7358 0.5000  6 In 2.85-2.97, 2 Tb 2.97
11 Pd 0.2500 0.2641 0.9981  6 In 2.85-2.97, 2 Tb 2.97
12 Pd 0.2500 0.7359 0.9981  6 In 2.85-2.97, 2 Tb 2.97
13 Pd 0.5000 0.2642 0.5000  6 In 2.85-2.97, 2 Tb 2.97
14 Pd 0.5000 0.7358 0.5000  6 In 2.85-2.97, 2 Tb 2.97
15 Pd 0.7500 0.2641 0.0019  6 In 2.85-2.97, 2 Tb 2.97
16 Pd 0.7500 0.7359 0.0019  6 In 2.85-2.97, 2 Tb 2.97

Output
- SG: Pmma (51)
- Formation enthalpy at 0 K: -5.10 eV/f.u.

KTaAg2 | PBE | optimized geometry

Lattice parameters (Å, degrees): 2.7965 5.5275 5.5268 90.00 90.00 90.00
Closest atoms and distances in Å follow each position.
Element x y z (fractional)
1 K 0.0000 0.0000 0.0000  2 K 2.80, 8 Ag 3.10
2 Ta 0.0000 0.5000 0.5015  2 Ta 2.80, 8 Ag 3.09-3.10
3 Ag 0.5000 0.0000 0.5000  2 Ag 2.80, 4 K 3.10, 4 Ta 3.10
4 Ag 0.5000 0.5000 0.0021  2 Ag 2.80, 4 Ta 3.09-3.10, 4 K 3.10

Output
- SG: Pmm2 (25)
- Formation enthalpy at 0 K: 2.38 eV/f.u.

CsLaHfPb2 | PBE | optimized geometry

Lattice parameters (Å, degrees): 5.6909 5.6909 5.8290 90.00 90.00 90.00
Closest atoms and distances in Å follow each position.
Element x y z (fractional)
1 Cs 0.0000 0.0000 0.0000  2 Hf 2.91
2 La 0.5000 0.5000 0.0000  4 Cs 4.02, 8 Pb 4.07
3 Hf 0.0000 0.0000 0.5000  4 Pb 2.85, 2 Cs 2.91
4 Pb 0.0000 0.5000 0.5000  2 Hf 2.85
5 Pb 0.5000 0.0000 0.5000  2 Hf 2.85

Output
- SG: P4/mmm (123)
- Formation enthalpy at 0 K: 2.97 eV/f.u.

In states/eV/cell, the Fermi-level density of states values for the records above are, in order, 5.511 0.000 2.637 3.368 3.347 7.203 3.760 6.375.